1.
First-principles (PBE) data for a relaxed CsHg3Au crystal, as listed in Alexandria.

Output
* Fermi-level density of states: 0.00 states/eV per cell

Lattice parameters (Å, degrees): 7.055 7.055 7.055 90.00 90.00 90.00
Space group Pm-3m (No. 221)
One atom of each set of equivalent atoms:
Cs1 0.000 0.000 0.000 (multiplicity 1)
Hg1 0.000 0.000 0.500 (multiplicity 3)
Au1 0.500 0.500 0.500 (multiplicity 1)

2.
First-principles (PBE) data for a relaxed Li2FeW crystal, as listed in Alexandria.

Output
* Fermi-level density of states: 7.42 states/eV per cell

Lattice parameters (Å, degrees): 4.126 4.126 5.824 90.00 90.00 90.00
Space group I-4m2 (No. 119)
One atom of each set of equivalent atoms:
Li1 0.000 0.000 0.000 (multiplicity 2)
Li2 0.000 0.500 0.250 (multiplicity 2)
Fe1 0.000 0.000 0.500 (multiplicity 2)
W1 0.000 0.500 0.750 (multiplicity 2)

What energy of formation from the pure elements values result from the calculations? In sequence: 0.3399 0.4793 eV per atom.